(1)
! DyW4S8 PBE optimized geometry; values from VASP
! E_form (uncorrected) = -632 meV per atom
! VASP energy = -7.512 eV per atom
! DOS at the Fermi energy = 7.49 states/eV per cell
&SYSTEM
  ibrav = 0, nat = 13, ntyp = 3
/
ATOMIC_SPECIES
Dy 162.50 Dy.upf
W 183.84 W.upf
S 32.06 S.upf
CELL_PARAMETERS angstrom
3.294 1.902 6.802
-3.294 1.902 6.802
0.000 -3.803 6.802
ATOMIC_POSITIONS crystal
Dy 0.000 0.000 0.000
W 0.000 0.000 0.500
W 0.000 0.500 0.000
W 0.500 0.000 0.000
W 0.500 0.500 0.500
S 0.242 0.242 0.242
S 0.251 0.739 0.739
S 0.261 0.261 0.749
S 0.261 0.749 0.261
S 0.739 0.251 0.739
S 0.739 0.739 0.251
S 0.749 0.261 0.261
S 0.758 0.758 0.758

---

(2)
! DyY4S7 PBE optimized geometry; values from VASP
! E_form (uncorrected) = -2077 meV per atom
! VASP energy = -7.023 eV per atom
! DOS at the Fermi energy = 1.41 states/eV per cell
&SYSTEM
  ibrav = 0, nat = 12, ntyp = 3
/
ATOMIC_SPECIES
Dy 162.50 Dy.upf
Y 88.91 Y.upf
S 32.06 S.upf
CELL_PARAMETERS angstrom
6.443 -1.908 0.000
6.443 1.908 0.000
-2.935 0.000 11.258
ATOMIC_POSITIONS crystal
Dy 0.000 0.000 0.000
Y 0.112 0.112 0.421
Y 0.224 0.224 0.843
Y 0.412 0.412 0.609
Y 0.812 0.812 0.234
S 0.070 0.070 0.636
S 0.154 0.154 0.206
S 0.372 0.372 0.069
S 0.453 0.453 0.370
S 0.611 0.611 0.921
S 0.771 0.771 0.473
S 0.853 0.853 0.774

---

(3)
! DyY4S5 PBE optimized geometry; values from VASP
! E_form (uncorrected) = -1993 meV per atom
! VASP energy = -7.102 eV per atom
! DOS at the Fermi energy = 4.58 states/eV per cell
&SYSTEM
  ibrav = 0, nat = 10, ntyp = 3
/
ATOMIC_SPECIES
Dy 162.50 Dy.upf
Y 88.91 Y.upf
S 32.06 S.upf
CELL_PARAMETERS angstrom
-1.960 2.764 9.794
1.960 -2.764 9.794
1.960 2.764 -9.794
ATOMIC_POSITIONS crystal
Dy 0.000 0.000 0.000
Y 0.200 0.200 0.000
Y 0.400 0.400 0.000
Y 0.600 0.600 0.000
Y 0.800 0.800 0.000
S 0.100 0.600 0.500
S 0.300 0.800 0.500
S 0.500 0.000 0.500
S 0.700 0.200 0.500
S 0.900 0.400 0.500

---

(4)
! Dy5Y3S8 PBE optimized geometry; values from VASP
! E_form (uncorrected) = -1990 meV per atom
! VASP energy = -6.704 eV per atom
! DOS at the Fermi energy = 9.37 states/eV per cell
&SYSTEM
  ibrav = 0, nat = 16, ntyp = 3
/
ATOMIC_SPECIES
Dy 162.50 Dy.upf
Y 88.91 Y.upf
S 32.06 S.upf
CELL_PARAMETERS angstrom
3.910 2.258 6.388
-3.910 2.258 6.388
0.000 -4.515 6.388
ATOMIC_POSITIONS crystal
Dy 0.000 0.000 0.000
Dy 0.000 0.500 0.500
Dy 0.500 0.000 0.500
Dy 0.500 0.500 0.000
Dy 0.500 0.500 0.500
Y 0.000 0.000 0.500
Y 0.000 0.500 0.000
Y 0.500 0.000 0.000
S 0.250 0.250 0.250
S 0.250 0.250 0.749
S 0.250 0.749 0.250
S 0.251 0.750 0.750
S 0.749 0.250 0.250
S 0.750 0.251 0.750
S 0.750 0.750 0.251
S 0.750 0.750 0.750

---

(5)
! Dy2Y3S8 PBE optimized geometry; values from VASP
! E_form (uncorrected) = -1882 meV per atom
! VASP energy = -6.621 eV per atom
! DOS at the Fermi energy = 7.08 states/eV per cell
&SYSTEM
  ibrav = 0, nat = 13, ntyp = 3
/
ATOMIC_SPECIES
Dy 162.50 Dy.upf
Y 88.91 Y.upf
S 32.06 S.upf
CELL_PARAMETERS angstrom
6.839 -3.960 0.000
6.839 3.960 0.000
-2.308 0.000 6.286
ATOMIC_POSITIONS crystal
Dy 0.238 0.238 0.158
Dy 0.762 0.762 0.842
Y 0.237 0.763 0.500
Y 0.500 0.500 0.000
Y 0.763 0.237 0.500
S 0.119 0.119 0.408
S 0.141 0.610 0.085
S 0.383 0.383 0.570
S 0.390 0.859 0.915
S 0.610 0.141 0.085
S 0.617 0.617 0.430
S 0.859 0.390 0.915
S 0.881 0.881 0.592

---

(6)
! DyYS2 PBE optimized geometry; values from VASP
! E_form (uncorrected) = -1996 meV per atom
! ΔE to the lowest computed polymorph = 0.0 meV per atom
! VASP energy = -6.827 eV per atom
! DOS at the Fermi energy = 4.91 states/eV per cell
&SYSTEM
  ibrav = 0, nat = 12, ntyp = 3
/
ATOMIC_SPECIES
Dy 162.50 Dy.upf
Y 88.91 Y.upf
S 32.06 S.upf
CELL_PARAMETERS angstrom
3.917 0.000 0.000
-1.958 3.392 0.000
0.000 0.000 19.107
ATOMIC_POSITIONS crystal
Dy 0.000 0.000 0.000
Dy 0.333 0.667 0.667
Dy 0.667 0.333 0.333
Y 0.000 0.000 0.500
Y 0.333 0.667 0.167
Y 0.667 0.333 0.833
S 0.000 0.000 0.250
S 0.000 0.000 0.750
S 0.333 0.667 0.416
S 0.333 0.667 0.917
S 0.667 0.333 0.083
S 0.667 0.333 0.584

---

(7)
! DyY2S4 PBE optimized geometry; values from VASP
! E_form (uncorrected) = -2024 meV per atom
! ΔE to the lowest computed polymorph = 29.0 meV per atom
! VASP energy = -6.887 eV per atom
! DOS at the Fermi energy = 4.89 states/eV per cell
&SYSTEM
  ibrav = 0, nat = 14, ntyp = 3
/
ATOMIC_SPECIES
Dy 162.50 Dy.upf
Y 88.91 Y.upf
S 32.06 S.upf
CELL_PARAMETERS angstrom
14.348 0.000 0.000
0.000 3.947 0.000
-3.065 0.000 6.179
ATOMIC_POSITIONS crystal
Dy 0.000 0.000 0.000
Dy 0.500 0.500 0.000
Y 0.227 0.500 0.720
Y 0.273 0.000 0.280
Y 0.727 0.000 0.720
Y 0.773 0.500 0.280
S 0.124 0.000 0.437
S 0.138 0.500 0.003
S 0.362 0.000 0.997
S 0.376 0.500 0.563
S 0.624 0.500 0.437
S 0.638 0.000 0.003
S 0.862 0.500 0.997
S 0.876 0.000 0.563

---

(8)
! DyYS3 PBE optimized geometry; values from VASP
! E_form (uncorrected) = -2027 meV per atom
! VASP energy = -6.717 eV per atom
! DOS at the Fermi energy = 0.00 states/eV per cell
&SYSTEM
  ibrav = 0, nat = 10, ntyp = 3
/
ATOMIC_SPECIES
Dy 162.50 Dy.upf
Y 88.91 Y.upf
S 32.06 S.upf
CELL_PARAMETERS angstrom
7.972 -2.051 0.000
7.972 2.051 0.000
-3.831 0.000 7.401
ATOMIC_POSITIONS crystal
Dy 0.147 0.147 0.261
Dy 0.853 0.853 0.739
Y 0.369 0.369 0.208
Y 0.631 0.631 0.792
S 0.045 0.045 0.862
S 0.266 0.266 0.844
S 0.356 0.356 0.524
S 0.644 0.644 0.476
S 0.734 0.734 0.156
S 0.955 0.955 0.138

---

(9)
! DyY2S3 PBE optimized geometry; values from VASP
! E_form (uncorrected) = -1994 meV per atom
! VASP energy = -6.980 eV per atom
! DOS at the Fermi energy = 4.79 states/eV per cell
&SYSTEM
  ibrav = 0, nat = 12, ntyp = 3
/
ATOMIC_SPECIES
Dy 162.50 Dy.upf
Y 88.91 Y.upf
S 32.06 S.upf
CELL_PARAMETERS angstrom
3.924 0.000 0.000
0.000 5.526 0.000
0.000 0.000 11.729
ATOMIC_POSITIONS crystal
Dy 0.000 0.000 0.000
Dy 0.500 0.500 0.500
Y 0.000 0.000 0.333
Y 0.000 0.000 0.667
Y 0.500 0.500 0.167
Y 0.500 0.500 0.833
S 0.000 0.500 0.000
S 0.000 0.500 0.334
S 0.000 0.500 0.666
S 0.500 0.000 0.166
S 0.500 0.000 0.500
S 0.500 0.000 0.834

---

(10)
! Dy2YS3 PBE optimized geometry; values from VASP
! E_form (uncorrected) = -1993 meV per atom
! VASP energy = -6.668 eV per atom
! DOS at the Fermi energy = 4.72 states/eV per cell
&SYSTEM
  ibrav = 0, nat = 12, ntyp = 3
/
ATOMIC_SPECIES
Dy 162.50 Dy.upf
Y 88.91 Y.upf
S 32.06 S.upf
CELL_PARAMETERS angstrom
3.918 0.000 0.000
0.000 5.519 0.000
0.000 0.000 11.716
ATOMIC_POSITIONS crystal
Dy 0.000 0.000 0.166
Dy 0.000 0.000 0.834
Dy 0.500 0.500 0.334
Dy 0.500 0.500 0.666
Y 0.000 0.000 0.500
Y 0.500 0.500 0.000
S 0.000 0.500 0.167
S 0.000 0.500 0.500
S 0.000 0.500 0.833
S 0.500 0.000 0.000
S 0.500 0.000 0.333
S 0.500 0.000 0.667

---

(11)
! DyYS2 PBE optimized geometry; values from VASP
! E_form (uncorrected) = -1886 meV per atom
! ΔE to the lowest computed polymorph = 110.8 meV per atom
! VASP energy = -6.716 eV per atom
! DOS at the Fermi energy = 1.51 states/eV per cell
&SYSTEM
  ibrav = 0, nat = 4, ntyp = 3
/
ATOMIC_SPECIES
Dy 162.50 Dy.upf
Y 88.91 Y.upf
S 32.06 S.upf
CELL_PARAMETERS angstrom
3.769 0.000 0.000
-1.884 3.264 0.000
0.000 0.000 7.049
ATOMIC_POSITIONS crystal
Dy 0.000 0.000 0.000
Y 0.000 0.000 0.500
S 0.333 0.667 0.751
S 0.667 0.333 0.249

---

(12)
! Dy2Y3S4 PBE optimized geometry; values from VASP
! E_form (uncorrected) = -1770 meV per atom
! VASP energy = -6.782 eV per atom
! DOS at the Fermi energy = 5.96 states/eV per cell
&SYSTEM
  ibrav = 0, nat = 9, ntyp = 3
/
ATOMIC_SPECIES
Dy 162.50 Dy.upf
Y 88.91 Y.upf
S 32.06 S.upf
CELL_PARAMETERS angstrom
3.867 0.000 0.000
-1.934 3.349 0.000
0.000 0.000 15.915
ATOMIC_POSITIONS crystal
Dy 0.333 0.667 0.206
Dy 0.667 0.333 0.794
Y 0.000 0.000 0.000
Y 0.333 0.667 0.591
Y 0.667 0.333 0.409
S 0.000 0.000 0.305
S 0.000 0.000 0.695
S 0.333 0.667 0.897
S 0.667 0.333 0.103

---

(13)
! Dy4Y3S8 PBE optimized geometry; values from VASP
! E_form (uncorrected) = -2053 meV per atom
! VASP energy = -6.775 eV per atom
! DOS at the Fermi energy = 6.28 states/eV per cell
&SYSTEM
  ibrav = 0, nat = 15, ntyp = 3
/
ATOMIC_SPECIES
Dy 162.50 Dy.upf
Y 88.91 Y.upf
S 32.06 S.upf
CELL_PARAMETERS angstrom
5.520 -5.520 0.000
5.520 5.520 0.000
-5.518 0.000 5.520
ATOMIC_POSITIONS crystal
Dy 0.000 0.000 0.000
Dy 0.000 0.000 0.500
Dy 0.000 0.500 0.000
Dy 0.500 0.000 0.000
Y 0.000 0.500 0.500
Y 0.500 0.000 0.500
Y 0.500 0.500 0.500
S 0.250 0.250 0.501
S 0.250 0.250 0.999
S 0.250 0.750 0.500
S 0.251 0.749 0.000
S 0.749 0.251 0.000
S 0.750 0.250 0.500
S 0.750 0.750 0.001
S 0.750 0.750 0.499

---

(14)
! DyY3S3 PBE optimized geometry; values from VASP
! E_form (uncorrected) = -1697 meV per atom
! VASP energy = -6.893 eV per atom
! DOS at the Fermi energy = 9.98 states/eV per cell
&SYSTEM
  ibrav = 0, nat = 14, ntyp = 3
/
ATOMIC_SPECIES
Dy 162.50 Dy.upf
Y 88.91 Y.upf
S 32.06 S.upf
CELL_PARAMETERS angstrom
5.458 -5.490 0.000
5.458 5.490 0.000
0.000 0.000 5.508
ATOMIC_POSITIONS crystal
Dy 0.123 0.877 0.750
Dy 0.877 0.123 0.250
Y 0.125 0.375 0.750
Y 0.375 0.125 0.250
Y 0.376 0.624 0.250
Y 0.624 0.376 0.750
Y 0.625 0.875 0.750
Y 0.875 0.625 0.250
S 0.123 0.374 0.250
S 0.374 0.123 0.750
S 0.374 0.626 0.750
S 0.626 0.374 0.250
S 0.626 0.877 0.250
S 0.877 0.626 0.750

---

(15)
! DyYS3 PBE optimized geometry; values from VASP
! E_form (uncorrected) = -2064 meV per atom
! VASP energy = -6.754 eV per atom
! DOS at the Fermi energy = 0.00 states/eV per cell
&SYSTEM
  ibrav = 0, nat = 10, ntyp = 3
/
ATOMIC_SPECIES
Dy 162.50 Dy.upf
Y 88.91 Y.upf
S 32.06 S.upf
CELL_PARAMETERS angstrom
3.458 1.997 6.176
-3.458 1.997 6.176
0.000 -3.993 6.176
ATOMIC_POSITIONS crystal
Dy 0.149 0.149 0.149
Dy 0.851 0.851 0.851
Y 0.350 0.350 0.350
Y 0.650 0.650 0.650
S 0.051 0.450 0.750
S 0.250 0.949 0.550
S 0.450 0.750 0.051
S 0.550 0.250 0.949
S 0.750 0.051 0.450
S 0.949 0.550 0.250

---

(16)
! Dy4YS6 PBE optimized geometry; values from VASP
! E_form (uncorrected) = -2038 meV per atom
! VASP energy = -6.551 eV per atom
! DOS at the Fermi energy = 5.24 states/eV per cell
&SYSTEM
  ibrav = 0, nat = 22, ntyp = 3
/
ATOMIC_SPECIES
Dy 162.50 Dy.upf
Y 88.91 Y.upf
S 32.06 S.upf
CELL_PARAMETERS angstrom
1.913 -6.431 0.000
1.913 6.431 0.000
0.000 0.000 19.836
ATOMIC_POSITIONS crystal
Dy 0.091 0.909 0.628
Dy 0.091 0.909 0.872
Dy 0.361 0.639 0.540
Dy 0.361 0.639 0.960
Dy 0.639 0.361 0.040
Dy 0.639 0.361 0.460
Dy 0.909 0.091 0.128
Dy 0.909 0.091 0.372
Y 0.152 0.848 0.250
Y 0.848 0.152 0.750
S 0.000 0.000 0.000
S 0.000 0.000 0.500
S 0.193 0.807 0.750
S 0.270 0.730 0.089
S 0.270 0.730 0.411
S 0.449 0.551 0.667
S 0.449 0.551 0.833
S 0.551 0.449 0.167
S 0.551 0.449 0.333
S 0.730 0.270 0.589
S 0.730 0.270 0.911
S 0.807 0.193 0.250

---

(17)
! DyY4S6 PBE optimized geometry; values from VASP
! E_form (uncorrected) = -2040 meV per atom
! VASP energy = -7.060 eV per atom
! DOS at the Fermi energy = 5.41 states/eV per cell
&SYSTEM
  ibrav = 0, nat = 22, ntyp = 3
/
ATOMIC_SPECIES
Dy 162.50 Dy.upf
Y 88.91 Y.upf
S 32.06 S.upf
CELL_PARAMETERS angstrom
1.916 -6.447 0.000
1.916 6.447 0.000
0.000 0.000 19.856
ATOMIC_POSITIONS crystal
Dy 0.152 0.848 0.750
Dy 0.848 0.152 0.250
Y 0.091 0.909 0.128
Y 0.091 0.909 0.372
Y 0.361 0.639 0.040
Y 0.361 0.639 0.460
Y 0.639 0.361 0.540
Y 0.639 0.361 0.960
Y 0.909 0.091 0.628
Y 0.909 0.091 0.872
S 0.000 0.000 0.000
S 0.000 0.000 0.500
S 0.195 0.805 0.250
S 0.270 0.730 0.589
S 0.270 0.730 0.911
S 0.449 0.551 0.168
S 0.449 0.551 0.332
S 0.551 0.449 0.668
S 0.551 0.449 0.832
S 0.730 0.270 0.089
S 0.730 0.270 0.411
S 0.805 0.195 0.750

---

(18)
! DyY5S6 PBE optimized geometry; values from VASP
! E_form (uncorrected) = -1999 meV per atom
! VASP energy = -7.140 eV per atom
! DOS at the Fermi energy = 4.49 states/eV per cell
&SYSTEM
  ibrav = 0, nat = 12, ntyp = 3
/
ATOMIC_SPECIES
Dy 162.50 Dy.upf
Y 88.91 Y.upf
S 32.06 S.upf
CELL_PARAMETERS angstrom
3.391 -5.886 0.000
3.391 5.886 0.000
-2.278 0.000 6.380
ATOMIC_POSITIONS crystal
Dy 0.000 0.000 0.000
Y 0.167 0.833 0.500
Y 0.333 0.667 0.000
Y 0.500 0.500 0.500
Y 0.667 0.333 0.000
Y 0.833 0.167 0.500
S 0.083 0.416 0.250
S 0.249 0.249 0.750
S 0.416 0.083 0.250
S 0.584 0.917 0.750
S 0.751 0.751 0.250
S 0.917 0.584 0.750

---

(19)
! DyY8S4 PBE optimized geometry; values from VASP
! E_form (uncorrected) = -1176 meV per atom
! VASP energy = -6.778 eV per atom
! DOS at the Fermi energy = 13.04 states/eV per cell
&SYSTEM
  ibrav = 0, nat = 13, ntyp = 3
/
ATOMIC_SPECIES
Dy 162.50 Dy.upf
Y 88.91 Y.upf
S 32.06 S.upf
CELL_PARAMETERS angstrom
9.375 -1.897 0.000
9.375 1.897 0.000
-8.304 0.000 9.818
ATOMIC_POSITIONS crystal
Dy 0.000 0.000 0.000
Y 0.038 0.038 0.742
Y 0.306 0.306 0.930
Y 0.339 0.339 0.679
Y 0.371 0.371 0.408
Y 0.629 0.629 0.592
Y 0.661 0.661 0.321
Y 0.694 0.694 0.070
Y 0.962 0.962 0.258
S 0.150 0.150 0.463
S 0.329 0.329 0.163
S 0.671 0.671 0.837
S 0.850 0.850 0.537

---

(20)
! DyY4S4 PBE optimized geometry; values from VASP
! E_form (uncorrected) = -1771 meV per atom
! VASP energy = -6.989 eV per atom
! DOS at the Fermi energy = 5.57 states/eV per cell
&SYSTEM
  ibrav = 0, nat = 9, ntyp = 3
/
ATOMIC_SPECIES
Dy 162.50 Dy.upf
Y 88.91 Y.upf
S 32.06 S.upf
CELL_PARAMETERS angstrom
-4.339 4.339 2.756
4.339 -4.339 2.756
4.339 4.339 -2.756
ATOMIC_POSITIONS crystal
Dy 0.000 0.000 0.000
Y 0.198 0.603 0.801
Y 0.397 0.198 0.595
Y 0.603 0.802 0.405
Y 0.802 0.397 0.199
S 0.099 0.301 0.399
S 0.301 0.901 0.202
S 0.699 0.099 0.798
S 0.901 0.699 0.601

---

(21)
! Dy3YS4 PBE optimized geometry; values from VASP
! E_form (uncorrected) = -1992 meV per atom
! ΔE to the lowest computed polymorph = 0.0 meV per atom
! VASP energy = -6.590 eV per atom
! DOS at the Fermi energy = 9.82 states/eV per cell
&SYSTEM
  ibrav = 0, nat = 16, ntyp = 3
/
ATOMIC_SPECIES
Dy 162.50 Dy.upf
Y 88.91 Y.upf
S 32.06 S.upf
CELL_PARAMETERS angstrom
7.871 0.000 0.000
0.000 11.060 0.000
0.000 0.000 3.878
ATOMIC_POSITIONS crystal
Dy 0.000 0.000 0.000
Dy 0.250 0.250 0.500
Dy 0.250 0.750 0.500
Dy 0.500 0.500 0.000
Dy 0.750 0.250 0.500
Dy 0.750 0.750 0.500
Y 0.000 0.500 0.000
Y 0.500 0.000 0.000
S 0.000 0.250 0.000
S 0.000 0.750 0.000
S 0.249 0.000 0.500
S 0.251 0.500 0.500
S 0.500 0.250 0.000
S 0.500 0.750 0.000
S 0.749 0.500 0.500
S 0.751 0.000 0.500